Below is Sc2CrTc after structural relaxation, with properties calculated at the GGA-PBEsol level.

Unit cell a=3.249 b=4.673 c=8.651 alpha=90.00 beta=90.00 gamma=90.00
Space group Immm (No. 71)
Inequivalent atoms, fractional coordinates:
Sc 0.000 0.000 0.239 [4 per cell]
Cr 0.000 0.500 0.000 [2 per cell]
Tc 0.000 0.500 0.500 [2 per cell]

## Properties
E_form (meV/atom): 246
E (eV/cell): -67.465
Polymorph energy (0 for the lowest one) (kcal/mol of atoms): 2.75